# 1
DFT (PBEsol) results for crystalline CaCd5 at its relaxed geometry.

Fermi-level density of states, states/eV/f.u.: 2.0
Raw total energy, eV/atom: -1.485
Total moment, μB per atom: 0.000
Energy of formation, meV/atom: -132

Cell: 3.4572 3.4572 11.2083 Å, 90.00 90.00 90.00°
Element x y z (fractional)
Ca 0.0000 0.0000 0.0000
Cd 0.0000 0.0000 0.3416
Cd 0.0000 0.0000 0.6584
Cd 0.5000 0.5000 0.1888
Cd 0.5000 0.5000 0.5000
Cd 0.5000 0.5000 0.8112



# 2
DFT (PBEsol) results for crystalline BaAg3 at its relaxed geometry.

Fermi-level density of states, states/eV/f.u.: 2.6
Raw total energy, eV/atom: -2.810
Total moment, μB per atom: 0.000
Energy of formation, meV/atom: 211
Relative energy among the computed polymorphs, meV/atom: 371

Cell: 4.2392 4.2392 7.2304 Å, 90.00 90.00 120.00°
Element x y z (fractional)
Ba 0.0000 0.0000 0.0000
Ag 0.0000 0.0000 0.5000
Ag 0.6667 0.3333 0.3127
Ag 0.6667 0.3333 0.6873



# 3
DFT (PBEsol) results for crystalline CaCo3Si4O12 at its relaxed geometry.

Fermi-level density of states, states/eV/f.u.: 8.4
Raw total energy, eV/atom: -7.319
Total moment, μB per atom: 0.103
Formation energy without anion corrections, eV/atom: -1.75

Cell: 7.2866 7.2866 5.1244 Å, 101.18 101.18 71.27°
Element x y z (fractional)
Ca 0.0000 0.0000 0.0000
Co 0.1436 0.8564 0.5000
Co 0.4343 0.5657 0.5000
Co 0.6560 0.3440 0.0000
Si 0.0272 0.5957 0.8011
Si 0.0696 0.2041 0.4906
Si 0.4043 0.9728 0.1989
Si 0.7959 0.9304 0.5094
O 0.0431 0.3620 0.7653
O 0.0446 0.7046 0.1053
O 0.1931 0.6140 0.6338
O 0.2742 0.1784 0.3708
O 0.2954 0.9554 0.8947
O 0.3860 0.8069 0.3662
O 0.4845 0.4023 0.2132
O 0.5977 0.5155 0.7868
O 0.6380 0.9569 0.2347
O 0.7194 0.1156 0.7423
O 0.8216 0.7258 0.6292
O 0.8844 0.2806 0.2577



# 4
DFT (PBEsol) results for crystalline GdIn2Cl5 at its relaxed geometry.

Raw total energy, eV/atom: -5.345
Total moment, μB per atom: 0.875
Formation energy without anion corrections, eV/atom: -1.54

Cell: 12.4299 8.4901 7.9516 Å, 90.00 90.00 90.00°
Element x y z (fractional)
Gd 0.0055 0.2500 0.0753
Gd 0.4945 0.7500 0.5753
Gd 0.5055 0.2500 0.4247
Gd 0.9945 0.7500 0.9247
In 0.1707 0.0104 0.5675
In 0.1707 0.4896 0.5675
In 0.3293 0.5104 0.0675
In 0.3293 0.9896 0.0675
In 0.6707 0.0104 0.9325
In 0.6707 0.4896 0.9325
In 0.8293 0.5104 0.4325
In 0.8293 0.9896 0.4325
Cl 0.0048 0.2500 0.4180
Cl 0.0698 0.5462 0.1692
Cl 0.0698 0.9538 0.1692
Cl 0.1886 0.2500 0.8989
Cl 0.2047 0.7500 0.8464
Cl 0.2953 0.2500 0.3464
Cl 0.3114 0.7500 0.3989
Cl 0.4302 0.0462 0.6692
Cl 0.4302 0.4538 0.6692
Cl 0.4952 0.7500 0.9180
Cl 0.5048 0.2500 0.0820
Cl 0.5698 0.5462 0.3308
Cl 0.5698 0.9538 0.3308
Cl 0.6886 0.2500 0.6011
Cl 0.7047 0.7500 0.6536
Cl 0.7953 0.2500 0.1536
Cl 0.8114 0.7500 0.1011
Cl 0.9302 0.0462 0.8308
Cl 0.9302 0.4538 0.8308
Cl 0.9952 0.7500 0.5820



# 5
DFT (PBEsol) results for crystalline BRh3Pb at its relaxed geometry.

Fermi-level density of states, states/eV/f.u.: 1.7
Raw total energy, eV/atom: -7.304
Total moment, μB per atom: 0.000
Energy of formation, meV/atom: -218
Relative energy among the computed polymorphs, meV/atom: 0

Cell: 5.7837 5.7837 4.2243 Å, 90.00 90.00 90.00°
Element x y z (fractional)
B 0.0000 0.0000 0.0000
B 0.5000 0.5000 0.0000
Rh 0.0000 0.0000 0.5000
Rh 0.2056 0.2944 0.0000
Rh 0.2944 0.7944 0.0000
Rh 0.5000 0.5000 0.5000
Rh 0.7056 0.2056 0.0000
Rh 0.7944 0.7056 0.0000
Pb 0.0000 0.5000 0.5000
Pb 0.5000 0.0000 0.5000



# 6
DFT (PBEsol) results for crystalline CdH3Br at its relaxed geometry.

Fermi-level density of states, states/eV/f.u.: 0.8
Raw total energy, eV/atom: -1.748
Total moment, μB per atom: 0.000

Cell: 3.9618 3.9618 3.9618 Å, 90.00 90.00 90.00°
Element x y z (fractional)
Cd 0.0000 0.0000 0.0000
H 0.0000 0.5000 0.5000
H 0.5000 0.0000 0.5000
H 0.5000 0.5000 0.0000
Br 0.5000 0.5000 0.5000



# 7
DFT (PBEsol) results for crystalline Hf2Si2W at its relaxed geometry.

Fermi-level density of states, states/eV/f.u.: 1.3
Raw total energy, eV/atom: -10.033
Total moment, μB per atom: 0.000
Formation energy without anion corrections, eV/atom: -0.77

Cell: 6.6131 6.6131 3.7117 Å, 90.00 90.00 90.00°
Element x y z (fractional)
Hf 0.1742 0.3258 0.0000
Hf 0.3258 0.8258 0.0000
Hf 0.6742 0.1742 0.0000
Hf 0.8258 0.6742 0.0000
Si 0.1282 0.6282 0.5000
Si 0.3718 0.1282 0.5000
Si 0.6282 0.8718 0.5000
Si 0.8718 0.3718 0.5000
W 0.0000 0.0000 0.5000
W 0.5000 0.5000 0.5000



# 8
DFT (PBEsol) results for crystalline HgBrF2 at its relaxed geometry.

Fermi-level density of states, states/eV/f.u.: 3.2
Raw total energy, eV/atom: -2.261
Total moment, μB per atom: 0.257
Formation energy without anion corrections, eV/atom: -0.69

Cell: 7.0918 7.0918 5.7500 Å, 90.00 90.00 90.00°
Element x y z (fractional)
Hg 0.0000 0.0000 0.0000
Hg 0.0000 0.5000 0.2500
Hg 0.5000 0.0000 0.7500
Hg 0.5000 0.5000 0.5000
Br 0.0000 0.0000 0.5000
Br 0.0000 0.5000 0.7500
Br 0.5000 0.0000 0.2500
Br 0.5000 0.5000 0.0000
F 0.1664 0.2500 0.1250
F 0.2500 0.6664 0.3750
F 0.2500 0.8336 0.8750
F 0.3336 0.2500 0.6250
F 0.6664 0.7500 0.6250
F 0.7500 0.1664 0.8750
F 0.7500 0.3336 0.3750
F 0.8336 0.7500 0.1250



# 9
DFT (PBEsol) results for crystalline Sc5Co3 at its relaxed geometry.

Fermi-level density of states, states/eV/f.u.: 6.9
Raw total energy, eV/atom: -7.255
Total moment, μB per atom: 0.000
Energy of formation, meV/atom: -225
Relative energy among the computed polymorphs, meV/atom: 18

Cell: 7.5520 7.5520 7.5520 Å, 97.42 97.42 137.88°
Element x y z (fractional)
Sc 0.0808 0.7900 0.8707
Sc 0.2100 0.0808 0.2908
Sc 0.2500 0.7500 0.5000
Sc 0.2900 0.5808 0.8707
Sc 0.4192 0.2900 0.7092
Sc 0.5808 0.7100 0.2908
Sc 0.7100 0.4192 0.1293
Sc 0.7500 0.2500 0.5000
Sc 0.7900 0.9192 0.7092
Sc 0.9192 0.2100 0.1293
Co 0.1586 0.3414 0.5000
Co 0.2500 0.2500 0.0000
Co 0.3414 0.8414 0.1829
Co 0.6586 0.1586 0.8171
Co 0.7500 0.7500 0.0000
Co 0.8414 0.6586 0.5000



# 10
DFT (PBEsol) results for crystalline InAu at its relaxed geometry.

Fermi-level density of states, states/eV/f.u.: 0.7
Raw total energy, eV/atom: -3.592
Total moment, μB per atom: 0.000
Energy of formation, meV/atom: -138

Cell: 3.7451 3.7451 10.8049 Å, 90.00 90.00 120.00°
Element x y z (fractional)
In 0.0000 0.0000 0.0000
In 0.3333 0.6667 0.6667
In 0.6667 0.3333 0.3333
Au 0.0000 0.0000 0.5000
Au 0.3333 0.6667 0.1667
Au 0.6667 0.3333 0.8333



# 11
DFT (PBEsol) results for crystalline PrHf2F11 at its relaxed geometry.

Fermi-level density of states, states/eV/f.u.: 0.0
Raw total energy, eV/atom: -7.318
Total moment, μB per atom: 0.000
Formation energy without anion corrections, eV/atom: -3.93

Cell: 8.3389 8.3389 8.3389 Å, 125.04 106.56 98.10°
Element x y z (fractional)
Pr 0.2500 0.2500 0.0000
Pr 0.7500 0.7500 0.0000
Hf 0.1809 0.6330 0.8139
Hf 0.3191 0.1330 0.4521
Hf 0.6809 0.8670 0.5479
Hf 0.8191 0.3670 0.1860
F 0.0000 0.5000 0.5000
F 0.0496 0.9666 0.2881
F 0.0519 0.3656 0.1599
F 0.1785 0.4666 0.9170
F 0.2057 0.8920 0.8401
F 0.2191 0.3697 0.5889
F 0.2809 0.8697 0.1506
F 0.2943 0.1344 0.6863
F 0.3215 0.2385 0.2881
F 0.4481 0.6080 0.3137
F 0.4504 0.7385 0.9170
F 0.5000 0.0000 0.5000
F 0.5496 0.2615 0.0830
F 0.5519 0.3920 0.6863
F 0.6785 0.7615 0.7119
F 0.7057 0.8656 0.3137
F 0.7191 0.1303 0.8494
F 0.7809 0.6303 0.4111
F 0.7943 0.1080 0.1599
F 0.8215 0.5334 0.0830
F 0.9481 0.6344 0.8401
F 0.9504 0.0334 0.7119



# 12
DFT (PBEsol) results for crystalline Na2Cd2Hg at its relaxed geometry.

Fermi-level density of states, states/eV/f.u.: 1.8
Raw total energy, eV/atom: -1.230
Total moment, μB per atom: 0.000
Energy of formation, meV/atom: -78
Relative energy among the computed polymorphs, meV/atom: 0

Cell: 7.4504 7.4504 4.5795 Å, 90.00 90.00 90.00°
Element x y z (fractional)
Na 0.1707 0.3293 0.0000
Na 0.3293 0.8293 0.0000
Na 0.6707 0.1707 0.0000
Na 0.8293 0.6707 0.0000
Cd 0.1347 0.6347 0.5000
Cd 0.3653 0.1347 0.5000
Cd 0.6347 0.8653 0.5000
Cd 0.8653 0.3653 0.5000
Hg 0.0000 0.0000 0.5000
Hg 0.5000 0.5000 0.5000